# 1
DFT (GGA-PBE) results for a geometry-optimized NiTe2Cl structure.

Density (g cm⁻³): 6.22
Space group: No. 166
Energy relative to the elements, uncorrected (eV per formula unit): -1.33
Total energy (eV per atom): -3.811
Crystal system: trigonal

```
NiTe2Cl
1.0
1.946 1.124 7.110
-1.946 1.124 7.110
0.000 -2.247 7.110
Ni Te Cl
1 2 1
Cartesian
0.000 0.000 0.000 Ni
0.000 0.000 5.867 Te
0.000 0.000 15.464 Te
0.000 0.000 10.666 Cl
```

***

# 2
DFT (GGA-PBE) results for a geometry-optimized La5PmSb4 structure.

Density (g cm⁻³): 5.78
Space group: No. 12
Energy relative to the elements, uncorrected (eV per formula unit): -8.67
Total energy (eV per atom): -5.455
Crystal system: monoclinic

```
La5PmSb4
1.0
9.799 -2.241 0.000
9.799 2.241 0.000
-2.243 0.000 8.682
La Pm Sb
5 1 4
Cartesian
0.000 0.000 0.000 La
6.093 0.000 1.387 La
5.071 0.000 5.814 La
12.284 0.000 2.867 La
11.263 0.000 7.295 La
-1.122 0.000 4.341 Pm
1.965 0.000 5.092 Sb
9.153 0.000 2.166 Sb
8.202 0.000 6.516 Sb
15.391 0.000 3.590 Sb
```

***

# 3
DFT (GGA-PBE) results for a geometry-optimized RbTlZn2 structure.

Density (g cm⁻³): 4.76
Space group: No. 141
Total energy (eV per atom): -1.301
Crystal system: tetragonal

```
RbTlZn2
1.0
-2.727 2.727 9.862
2.727 -2.727 9.862
2.727 2.727 -9.862
Rb Tl Zn
2 2 4
Cartesian
2.727 1.364 2.466 Rb
0.000 1.364 7.397 Rb
2.727 -1.364 7.397 Tl
0.000 4.091 2.466 Tl
0.000 0.000 0.000 Zn
1.364 1.364 -4.931 Zn
1.364 -1.364 4.931 Zn
0.000 2.727 0.000 Zn
```

***

# 4
DFT (GGA-PBE) results for a geometry-optimized TcPd3Cl9 structure.

Density (g cm⁻³): 3.61
Space group: No. 9
Energy relative to the elements, uncorrected (eV per formula unit): -5.48
Total energy (eV per atom): -3.696
Crystal system: monoclinic

```
TcPd3Cl9
1.0
9.442 -3.366 0.000
9.442 3.366 0.000
-8.319 0.000 10.670
Tc Pd Cl
2 6 18
Cartesian
5.282 2.004 5.335 Tc
9.442 -2.004 0.000 Tc
8.837 2.797 2.796 Pd
0.235 1.194 8.169 Pd
4.394 -1.194 2.834 Pd
11.725 0.273 2.591 Pd
7.566 -0.273 7.926 Pd
4.677 -2.797 8.131 Pd
1.282 0.017 1.516 Cl
-2.877 -0.017 6.851 Cl
6.653 2.153 3.431 Cl
3.804 1.917 7.262 Cl
3.745 0.677 4.115 Cl
4.813 0.130 1.033 Cl
0.653 -0.130 6.368 Cl
-0.415 -0.677 9.450 Cl
9.760 0.856 3.711 Cl
6.351 0.031 5.935 Cl
10.511 -0.031 0.600 Cl
13.771 0.277 1.488 Cl
7.964 -1.917 1.927 Cl
5.600 -0.856 9.046 Cl
13.283 0.613 4.638 Cl
2.493 -2.153 8.766 Cl
9.612 -0.277 6.823 Cl
9.124 -0.613 9.973 Cl
```